Entry 1:
DFT (PBEsol) results for crystalline Ca2ZnNi at its relaxed geometry.

Computed properties:
crystal system: tetragonal
V: 84 Å³/cell
M_tot: 0.0 μB/f.u.
calculated total energy: -0.1115 Ha/atom
SG: P4/mmm

Unit cell a=3.528 b=4.889 c=4.890 alpha=90.00 beta=90.00 gamma=90.00
Sites, in units of the cell vectors:
Ca1 0.000 0.000 0.000
Zn1 0.500 0.000 0.500
Ni1 0.500 0.500 0.000
Ca2 0.000 0.500 0.500

***

Entry 2:
DFT (PBEsol) results for crystalline Cd3Au4 at its relaxed geometry.

Computed properties:
crystal system: tetragonal
V: 127 Å³/cell
M_tot: 0.0 μB/f.u.
calculated total energy: -0.1055 Ha/atom
SG: I4/mmm

Unit cell a=3.508 b=3.508 c=10.627 alpha=99.50 beta=99.50 gamma=90.00
Sites, in units of the cell vectors:
Au1 0.570 0.570 0.141
Cd1 0.290 0.290 0.581
Au2 0.143 0.143 0.285
Au3 0.430 0.430 0.859
Cd2 0.000 0.000 0.000
Au4 0.857 0.857 0.715
Cd3 0.710 0.710 0.419

***

Entry 3:
DFT (PBEsol) results for crystalline NdNi2Ge2 at its relaxed geometry.

Computed properties:
crystal system: tetragonal
V: 81 Å³/cell
M_tot: 0.0 μB/f.u.
calculated total energy: -0.2283 Ha/atom
SG: I4/mmm

Unit cell a=4.091 b=4.091 c=5.654 alpha=111.21 beta=111.21 gamma=90.00
Sites, in units of the cell vectors:
Ge1 0.368 0.368 0.736
Ge2 0.632 0.632 0.264
Ni1 0.250 0.750 0.500
Ni2 0.750 0.250 0.500
Nd1 0.000 0.000 0.000

***

Entry 4:
DFT (PBEsol) results for crystalline YRuW2 at its relaxed geometry.

Computed properties:
crystal system: orthorhombic
V: 68 Å³/cell
ΔE to the lowest computed polymorph: 0 meV per atom
M_tot: 0.0 μB/f.u.
calculated total energy: -0.4009 Ha/atom
SG: Immm

Unit cell a=3.142 b=4.517 c=5.537 alpha=114.07 beta=106.48 gamma=90.00
Sites, in units of the cell vectors:
Ru1 0.500 0.000 0.000
Y1 0.000 0.500 0.000
W1 0.762 0.762 0.523
W2 0.238 0.238 0.477

***

| no. | ΔH_f (0 K) (eV per atom) |
| --- | --- |
| 1 | -0.033 |
| 2 | -0.115 |
| 3 | -0.741 |
| 4 | 0.242 |